No. 1
4
Lattice="1.626 -2.339 0.000 1.626 2.339 0.000 0.000 0.000 9.836" Properties=species:S:1:pos:R:3 comment="CaRe2Te (GGA-PBEsol, relaxed)" energy_ha_per_atom=-0.255 crystal_system=orthorhombic sg=Cmmm dos_at_fermi_per_ev_cell=4.21 pbc="T T T"
Ca 0.000 0.000 0.000
Re 1.626 0.000 2.485
Re 1.626 0.000 7.351
Te 0.000 0.000 4.918

No. 2
38
Lattice="8.126 0.000 0.000 0.000 7.230 0.000 -0.195 0.000 6.969" Properties=species:S:1:pos:R:3 comment="CuH10C2N2Cl4 (GGA-PBEsol, relaxed)" energy_ha_per_atom=-0.176 crystal_system=monoclinic sg=P2_1/c dos_at_fermi_per_ev_cell=1.20 pbc="T T T"
Cu 0.000 0.000 0.000
Cu -0.098 3.615 3.485
H 1.336 0.327 3.998
H 1.433 3.288 0.514
H 1.817 3.666 5.923
H 1.915 7.179 2.438
H 2.118 4.819 0.173
H 2.021 6.026 3.657
H 3.415 1.447 3.616
H 3.513 2.168 0.131
H 3.509 0.255 4.945
H 3.607 3.360 1.460
H 4.324 3.870 5.509
H 4.422 6.975 2.024
H 4.418 5.062 6.838
H 4.515 5.783 3.353
H 5.910 1.204 3.312
H 5.812 2.411 6.796
H 6.016 0.051 4.531
H 6.113 3.564 1.047
H 6.497 3.942 6.455
H 6.595 6.903 2.971
C 3.412 0.368 3.851
C 3.510 3.247 0.366
C 4.421 3.983 6.603
C 4.518 6.862 3.119
N 1.996 3.787 6.946
N 2.094 7.057 3.462
N 5.837 0.172 3.507
N 5.935 3.442 0.023
Cl 0.141 1.498 5.274
Cl 0.239 2.117 1.789
Cl 2.167 3.894 3.699
Cl 2.264 6.951 0.214
Cl 5.666 0.279 6.755
Cl 5.764 3.336 3.270
Cl 7.692 5.113 5.180
Cl 7.789 5.732 1.695